[1]
Here is YPbBr after structural relaxation from Alexandria. Energies are from GGA-PBE.

Formation energy without anion corrections (eV/atom): -0.59
ρ (g/cm3): 7.345
ΔE to the lowest computed polymorph (eV per atom): 0.315

Cell and atoms, written as extended XYZ:
```
3
Lattice="5.107 0.000 0.000 -2.553 4.423 0.000 0.000 0.000 3.764" Properties=species:S:1:pos:R:3 pbc="T T T"
Y 2.553 1.474 3.137
Br 0.000 0.000 3.136
Pb 0.000 2.948 1.255
```

=====

[2]
Here is Pm6Sm2DyEr3 after structural relaxation from Alexandria. Energies are from GGA-PBE.

Energy of formation from the pure elements (eV/atom): 0.014
ρ (g/cm3): 7.710

Cell and atoms, written as extended XYZ:
```
12
Lattice="6.248 -0.001 0.006 -3.123 5.412 0.006 -1.051 -1.819 11.684" Properties=species:S:1:pos:R:3 pbc="T T T"
Pm -0.008 -0.014 8.734
Pm 2.078 -0.004 2.955
Pm 3.116 1.794 8.742
Pm -0.004 3.596 8.742
Pm -1.042 1.799 2.955
Pm 2.083 3.606 2.963
Er 4.162 -0.008 5.849
Er -2.087 3.601 5.849
Er 1.037 1.796 5.849
Sm 0.000 3.608 0.006
Sm 3.125 1.803 0.006
Dy 0.000 0.000 0.000
```

=====

Computed DOS(E_F) (states/eV per cell) in order:
4.4; 14.6